--- i ---
VASP calculation (GGA-PBE) on an optimized crystal structure of HfTcPO.

Space group: P4/mmm, No. 123
Spin magnetization in μB per cell: 1.4

a b c (Å): 3.5559 3.5559 4.4942
angles (deg): 90.00 90.00 90.00
With the nearest neighbours (Å) after each atom.
Sites, in units of the cell vectors:
Hf: 0.0000 0.0000 0.0000  2 O 2.25, 4 P 2.51
Tc: 0.5000 0.5000 0.5000  2 P 2.25, 4 O 2.51
P: 0.5000 0.5000 0.0000  2 Tc 2.25, 4 Hf 2.51
O: 0.0000 0.0000 0.5000  2 Hf 2.25, 4 Tc 2.51

--- ii ---
VASP calculation (GGA-PBE) on an optimized crystal structure of HfTcPO.

Space group: Pmc2_1, No. 26
Spin magnetization in μB per cell: 0.1

a b c (Å): 4.0700 5.4385 5.3177
angles (deg): 90.00 90.00 90.00
With the nearest neighbours (Å) after each atom.
Sites, in units of the cell vectors:
Hf: 0.0000 0.2032 0.0000  2 O 2.04
Hf: 0.0000 0.7968 0.5000  2 O 2.04
Tc: 0.5000 0.4981 0.2530  2 O 2.16-2.17
Tc: 0.5000 0.5019 0.7530  2 O 2.16-2.17
P: 0.0000 0.2947 0.5002  4 Tc 2.66-2.69, 4 Hf 2.70-2.73
P: 0.0000 0.7053 0.0002  4 Tc 2.66-2.69, 4 Hf 2.70-2.73
O: 0.5000 0.1853 0.0026  2 Hf 2.04, 2 Tc 2.16-2.17
O: 0.5000 0.8147 0.5026  2 Hf 2.04, 2 Tc 2.16-2.17

--- iii ---
VASP calculation (GGA-PBE) on an optimized crystal structure of HfTcPO.

Space group: P4/nmm, No. 129
Spin magnetization in μB per cell: 0.0

a b c (Å): 3.9983 3.9983 6.7964
angles (deg): 90.00 90.00 90.00
With the nearest neighbours (Å) after each atom.
Sites, in units of the cell vectors:
Hf: 0.2500 0.2500 0.1349  4 O 2.20
Hf: 0.7500 0.7500 0.8651  4 O 2.20
Tc: 0.2500 0.7500 0.5000  4 P 2.35
Tc: 0.7500 0.2500 0.5000  4 P 2.35
P: 0.2500 0.2500 0.6822  4 Tc 2.35
P: 0.7500 0.7500 0.3178  4 Tc 2.35
O: 0.2500 0.7500 0.0000  4 Hf 2.20
O: 0.7500 0.2500 0.0000  4 Hf 2.20

Q: Which of them is the most stable? A: iii.

--- i ---
VASP calculation (GGA-PBE) on an optimized crystal structure of YHfPO.

Space group: P4/nmm, No. 129
Spin magnetization in μB per cell: 0.0

a b c (Å): 4.1188 4.1188 7.8736
angles (deg): 90.00 90.00 90.00
With the nearest neighbours (Å) after each atom.
Sites, in units of the cell vectors:
Y: 0.2500 0.7500 0.0000  4 P 2.77, 4 Y 2.91
Y: 0.7500 0.2500 0.0000  4 P 2.77, 4 Y 2.91
Hf: 0.2500 0.2500 0.3910  4 O 2.23
Hf: 0.7500 0.7500 0.6090  4 O 2.23
P: 0.2500 0.2500 0.7645  4 Y 2.77, 4 O 2.93, 1 Hf 2.94
P: 0.7500 0.7500 0.2355  4 Y 2.77, 4 O 2.93, 1 Hf 2.94
O: 0.2500 0.7500 0.5000  4 Hf 2.23
O: 0.7500 0.2500 0.5000  4 Hf 2.23

--- ii ---
VASP calculation (GGA-PBE) on an optimized crystal structure of YHfPO.

Space group: P4/nmm, No. 129
Spin magnetization in μB per cell: 0.0

a b c (Å): 4.1281 4.1281 8.4952
angles (deg): 90.00 90.00 90.00
With the nearest neighbours (Å) after each atom.
Sites, in units of the cell vectors:
Y: 0.2500 0.2500 0.1177  4 O 2.29
Y: 0.7500 0.7500 0.8823  4 O 2.29
Hf: 0.2500 0.7500 0.5000  4 P 2.59
Hf: 0.7500 0.2500 0.5000  4 P 2.59
P: 0.2500 0.2500 0.6834  4 Hf 2.59
P: 0.7500 0.7500 0.3166  4 Hf 2.59
O: 0.2500 0.7500 0.0000  4 Y 2.29
O: 0.7500 0.2500 0.0000  4 Y 2.29

Q: Which of them is the most stable? A: ii.

--- i ---
VASP calculation (GGA-PBE) on an optimized crystal structure of YHfPO.

Space group: Pmma, No. 51
Spin magnetization in μB per cell: 0.0

a b c (Å): 9.6128 3.4101 5.5306
angles (deg): 90.00 90.00 90.00
With the nearest neighbours (Å) after each atom.
Sites, in units of the cell vectors:
Y: 0.0000 0.0000 0.0000  2 O 2.43
Y: 0.5000 0.0000 0.0000  2 O 2.43
Hf: 0.2500 0.0000 0.4100  1 O 1.92
Hf: 0.7500 0.0000 0.5900  1 O 1.92
P: 0.0000 0.0000 0.5000  2 Hf 2.45
P: 0.5000 0.0000 0.5000  2 Hf 2.45
O: 0.2500 0.0000 0.0629  1 Hf 1.92
O: 0.7500 0.0000 0.9371  1 Hf 1.92

--- ii ---
VASP calculation (GGA-PBE) on an optimized crystal structure of YHfPO.

Space group: Pmma, No. 51
Spin magnetization in μB per cell: 0.0

a b c (Å): 5.0877 4.0242 7.2601
angles (deg): 90.00 90.00 90.00
With the nearest neighbours (Å) after each atom.
Sites, in units of the cell vectors:
Y: 0.2500 0.0000 0.1420  3 O 2.33-2.56
Y: 0.7500 0.0000 0.8580  3 O 2.33-2.56
Hf: 0.2500 0.5000 0.7378  2 O 2.10
Hf: 0.7500 0.5000 0.2622  2 O 2.10
P: 0.2500 0.5000 0.3838  3 Hf 2.57-2.69, 2 Y 2.67
P: 0.7500 0.5000 0.6162  3 Hf 2.57-2.69, 2 Y 2.67
O: 0.2500 0.0000 0.8212  2 Hf 2.10, 1 Y 2.33
O: 0.7500 0.0000 0.1788  2 Hf 2.10, 1 Y 2.33

Q: Which of them is the most stable? A: ii.